(1)
Material: TlWSe
Method: DFT, PBE
State: optimized geometry

It has space group Fmm2 (No. 42), with a = 3.297 Å, b = 5.151 Å, c = 16.837 Å, α = 90.00°, β = 90.00° and γ = 90.00°. The inequivalent atoms are Tl at (0.000, 0.000, 0.000), W at (0.000, 0.000, 0.658) and Se at (0.000, 0.000, 0.268).

The volume is 23.83 A^3/atom. Its spin magnetization is 0.0 μB/cell. The calculation puts the theoretical density at 10.9 g/cm3.



(2)
Material: TlWSe
Method: DFT, PBE
State: optimized geometry

It has space group I4mm (No. 107), with a = 3.108 Å, b = 3.108 Å, c = 13.915 Å, α = 90.00°, β = 90.00° and γ = 90.00°. The inequivalent atoms are Tl at (0.000, 0.000, 0.000), W at (0.000, 0.000, 0.669) and Se at (0.000, 0.000, 0.266).

The volume is 22.39 A^3/atom. Its spin magnetization is 0.0 μB/cell. The calculation puts the theoretical density at 11.5 g/cm3.



(3)
Material: TlWSe
Method: DFT, PBE
State: optimized geometry

It has space group P2_1 (No. 4), with a = 3.276 Å, b = 4.821 Å, c = 9.049 Å, α = 90.00°, β = 90.17° and γ = 90.00°. The inequivalent atoms are Tl at (0.247, 0.000, 0.157), W at (0.250, 0.653, 0.491) and Se at (0.252, 0.998, 0.705).

The volume is 23.82 A^3/atom. Its spin magnetization is 0.0 μB/cell. The calculation puts the theoretical density at 10.9 g/cm3.



We find (3) to be the most stable, with the next structure 21.7 kJ/mol of atoms higher.